Entry 1:
First-principles (GGA-PBEsol) data for TcP2PtS after structural relaxation, as listed in Alexandria via LeMat-Bulk.

V in Å³/atom: 19.44
ΔE_f (raw) in meV/atom: 1220
Calculated total energy in Ry per atom: -0.4130
Magnetic moment in μB/f.u.: 2.4
Theoretical density in Mg/m³: 6.6
Symmetry: No. 123

Lattice parameters (Å, degrees): 4.5217 4.5217 4.7531 90.00 90.00 90.00
With the nearest neighbours (Å) after each atom.
Sites, in units of the cell vectors:
S (0.0000, 0.0000, 0.5000)  2 Pt 2.38
P (0.5000, 0.0000, 0.0000)  2 Pt 2.26
Pt (0.0000, 0.0000, 0.0000)  4 P 2.26, 2 S 2.38
P (0.0000, 0.5000, 0.0000)  2 Pt 2.26
Tc (0.5000, 0.5000, 0.5000)  4 S 3.20, 8 P 3.28

Entry 2:
First-principles (GGA-PBEsol) data for CrCd2TeRh after structural relaxation, as listed in Alexandria via LeMat-Bulk.

V in Å³/atom: 27.00
ΔE_f (raw) in meV/atom: 1461
Calculated total energy in Ry per atom: -0.2498
Magnetic moment in μB/f.u.: 3.6
Theoretical density in Mg/m³: 6.2
Symmetry: No. 123

Lattice parameters (Å, degrees): 4.8386 5.2816 5.2816 90.00 90.00 90.00
With the nearest neighbours (Å) after each atom.
Sites, in units of the cell vectors:
Cd (0.0000, 0.0000, 0.5000)  2 Te 2.64
Te (0.0000, 0.0000, 0.0000)  2 Cr 2.42, 4 Cd 2.64
Cd (0.0000, 0.5000, 0.0000)  2 Te 2.64
Cr (0.5000, 0.0000, 0.0000)  2 Te 2.42
Rh (0.5000, 0.5000, 0.5000)  8 Cd 3.58, 4 Cr 3.73

Entry 3:
First-principles (GGA-PBEsol) data for ErCo3Ni2 after structural relaxation, as listed in Alexandria via LeMat-Bulk.

V in Å³/atom: 12.86
Calculated total energy in Ry per atom: -0.5104
Magnetic moment in μB/f.u.: 4.7
Theoretical density in Mg/m³: 9.9
Symmetry: No. 191

Lattice parameters (Å, degrees): 3.9573 4.7453 4.7453 120.00 90.00 90.00
With the nearest neighbours (Å) after each atom.
Sites, in units of the cell vectors:
Co (0.5000, 0.5000, 0.0000)  4 Co 2.37, 4 Ni 2.41
Co (0.5000, 0.0000, 0.5000)  4 Co 2.37, 4 Ni 2.41
Co (0.5000, 0.5000, 0.5000)  4 Co 2.37, 4 Ni 2.41
Er (0.0000, 0.0000, 0.0000)  6 Ni 2.74
Ni (0.0000, 0.3333, 0.6667)  6 Co 2.41
Ni (0.0000, 0.6667, 0.3333)  6 Co 2.41

Entry 4:
First-principles (GGA-PBEsol) data for Al3Ag4 after structural relaxation, as listed in Alexandria via LeMat-Bulk.

V in Å³/atom: 16.10
Calculated total energy in Ry per atom: -0.2740
Magnetic moment in μB/f.u.: 0.0
Theoretical density in Mg/m³: 7.5
Symmetry: No. 12

Lattice parameters (Å, degrees): 2.8688 6.1600 7.1542 112.87 90.00 103.47
With the nearest neighbours (Å) after each atom.
Sites, in units of the cell vectors:
Ag (0.2099, 0.4199, 0.6395)  5 Al 2.72-2.80, 7 Ag 2.87-2.94
Al (0.9218, 0.8436, 0.7845)  7 Ag 2.73-2.80, 5 Al 2.87-2.93
Al (0.0782, 0.1564, 0.2155)  7 Ag 2.73-2.80, 5 Al 2.87-2.93
Ag (0.3670, 0.7340, 0.0735)  5 Al 2.73-2.82, 7 Ag 2.87-2.94
Al (0.5000, 0.0000, 0.5000)  6 Ag 2.72-2.82, 6 Al 2.87-2.93
Ag (0.6330, 0.2660, 0.9265)  5 Al 2.73-2.82, 7 Ag 2.87-2.94
Ag (0.7901, 0.5801, 0.3605)  5 Al 2.72-2.80, 7 Ag 2.87-2.94

Entry 5:
First-principles (GGA-PBEsol) data for ZrTa2Ni after structural relaxation, as listed in Alexandria via LeMat-Bulk.

V in Å³/atom: 16.90
Calculated total energy in Ry per atom: -0.7334
Magnetic moment in μB/f.u.: 0.0
Theoretical density in Mg/m³: 12.6
Symmetry: No. 10

Lattice parameters (Å, degrees): 2.9035 4.6714 5.0607 90.00 100.02 90.00
With the nearest neighbours (Å) after each atom.
Sites, in units of the cell vectors:
Zr (0.5000, 0.5000, 0.0000)  2 Ni 2.69, 4 Ta 2.86, 2 Zr 2.90
Ni (0.0000, 0.5000, 0.5000)  2 Zr 2.69, 4 Ta 2.77, 2 Ni 2.90
Ta (0.2201, 0.0000, 0.2555)  5 Ta 2.68-2.98, 2 Ni 2.77, 2 Zr 2.86
Ta (0.7799, 0.0000, 0.7445)  5 Ta 2.68-2.98, 2 Ni 2.77, 2 Zr 2.86

Entry 6:
First-principles (GGA-PBEsol) data for MgZr3C after structural relaxation, as listed in Alexandria via LeMat-Bulk.

V in Å³/atom: 18.93
Calculated total energy in Ry per atom: -0.5946
Magnetic moment in μB/f.u.: 0.0
Theoretical density in Mg/m³: 5.4
Symmetry: No. 221

Lattice parameters (Å, degrees): 4.5577 4.5577 4.5577 90.00 90.00 90.00
With the nearest neighbours (Å) after each atom.
Sites, in units of the cell vectors:
Zr (0.5000, 0.0000, 0.0000)  2 C 2.28
Mg (0.5000, 0.5000, 0.5000)  12 Zr 3.22
Zr (0.0000, 0.0000, 0.5000)  2 C 2.28
Zr (0.0000, 0.5000, 0.0000)  2 C 2.28
C (0.0000, 0.0000, 0.0000)  6 Zr 2.28

Entry 7:
First-principles (GGA-PBEsol) data for NbTc3Br after structural relaxation, as listed in Alexandria via LeMat-Bulk.

V in Å³/atom: 17.56
ΔE_f (raw) in meV/atom: 1495
Calculated total energy in Ry per atom: -0.5735
Magnetic moment in μB/f.u.: 0.0
Theoretical density in Mg/m³: 8.8
Symmetry: No. 221

Lattice parameters (Å, degrees): 4.4445 4.4445 4.4445 90.00 90.00 90.00
With the nearest neighbours (Å) after each atom.
Sites, in units of the cell vectors:
Nb (0.5000, 0.5000, 0.5000)  12 Tc 3.14
Tc (0.0000, 0.5000, 0.0000)  2 Br 2.22
Tc (0.0000, 0.0000, 0.5000)  2 Br 2.22
Tc (0.5000, 0.0000, 0.0000)  2 Br 2.22
Br (0.0000, 0.0000, 0.0000)  6 Tc 2.22

Entry 8:
First-principles (GGA-PBEsol) data for Ni2Pt after structural relaxation, as listed in Alexandria via LeMat-Bulk.

V in Å³/atom: 12.08
Calculated total energy in Ry per atom: -0.4743
Magnetic moment in μB/f.u.: 1.8
Theoretical density in Mg/m³: 14.3
Symmetry: No. 63

Lattice parameters (Å, degrees): 4.2447 4.4272 4.4474 119.85 90.00 90.00
With the nearest neighbours (Å) after each atom.
Sites, in units of the cell vectors:
Ni (0.2500, 0.8419, 0.3400)  5 Pt 2.53-2.61, 7 Ni 2.53-2.62
Ni (0.7500, 0.1581, 0.6600)  5 Pt 2.53-2.61, 7 Ni 2.53-2.62
Pt (0.2500, 0.1821, 0.0000)  10 Ni 2.53-2.61, 2 Pt 2.67
Ni (0.2500, 0.5019, 0.6600)  5 Pt 2.53-2.61, 7 Ni 2.53-2.62
Pt (0.7500, 0.8179, 0.0000)  10 Ni 2.53-2.61, 2 Pt 2.67
Ni (0.7500, 0.4981, 0.3400)  5 Pt 2.53-2.61, 7 Ni 2.53-2.62

The lowest calculated total energy belongs to which entry? ZrTa2Ni

Which of these has the lowest calculated total energy? ZrTa2Ni